Entry 1:
DFT (PBE) results for an optimized crystal structure of NaLaSn2Au2.

Cell lengths 4.8585, 4.8585, 7.0893 Å; angles 90.00, 90.00, 120.00 degrees
Space group P-3m1 (No. 164)
One atom of each set of equivalent atoms:
Na1 0.0000 0.0000 0.0000 [1 per cell]
La1 0.0000 0.0000 0.5000 [1 per cell]
Sn1 0.3333 0.6667 0.7689 [2 per cell]
Au1 0.3333 0.6667 0.2394 [2 per cell]

## Properties
Crystal system: trigonal

Entry 2:
DFT (PBE) results for an optimized crystal structure of NaLa2Sn4Au3.

Cell lengths 4.5676, 4.5676, 12.2264 Å; angles 90.00, 90.00, 90.00 degrees
Space group P-4m2 (No. 115)
One atom of each set of equivalent atoms:
Na1 0.0000 0.0000 0.0000 [1 per cell]
La1 0.0000 0.5000 0.7459 [2 per cell]
Sn1 0.0000 0.0000 0.5000 [1 per cell]
Sn2 0.0000 0.5000 0.1420 [2 per cell]
Sn3 0.5000 0.5000 0.5000 [1 per cell]
Au1 0.0000 0.5000 0.3600 [2 per cell]
Au2 0.5000 0.5000 0.0000 [1 per cell]

## Properties
Crystal system: tetragonal

no.,calculated volume (Å³/cell),DFT formation energy (eV/f.u.)
1,145,-3.5
2,255,-5.4